(w)
Material: NdY7Tm4
Method: DFT, GGA-PBE
State: optimized geometry

## Properties
crystal system = monoclinic

abc: 6.7025 6.7025 12.6088
angles: 65.46 65.46 51.81
Last column: nearest neighbours and their distance in Å.
Sites, in units of the cell vectors:
1 Nd 0.0000 0.0000 0.0000  4 Y 2.93-3.12
2 Y 0.2105 0.2105 0.0780  1 Nd 3.12, 4 Y 3.16-3.41, 4 Tm 3.25-3.40
3 Y 0.7895 0.7895 0.9220  1 Nd 3.12, 4 Y 3.16-3.41, 4 Tm 3.25-3.40
4 Y 0.9429 0.9429 0.3302  4 Y 3.31-3.52, 3 Tm 3.58-3.65
5 Y 0.0571 0.0571 0.6698  4 Y 3.31-3.52, 3 Tm 3.58-3.65
6 Y 0.6355 0.6355 0.4949  4 Y 3.21-3.52, 5 Tm 3.25-3.57
7 Y 0.5000 0.5000 0.0000  2 Nd 2.93, 2 Y 3.16
8 Y 0.3645 0.3645 0.5051  4 Y 3.21-3.52, 5 Tm 3.25-3.57
9 Tm 0.3662 0.3662 0.7741  7 Y 3.36-3.58, 2 Tm 3.65
10 Tm 0.6338 0.6338 0.2259  7 Y 3.36-3.58, 2 Tm 3.65
11 Tm 0.2524 0.2524 0.3148  4 Y 3.25-3.57
12 Tm 0.7476 0.7476 0.6852  4 Y 3.25-3.57

---

(x)
Material: NdY7Tm4
Method: DFT, GGA-PBE
State: optimized geometry

## Properties
crystal system = monoclinic

abc: 5.8548 9.5668 8.5062
angles: 62.35 69.87 72.18
Last column: nearest neighbours and their distance in Å.
Sites, in units of the cell vectors:
1 Nd 0.0000 0.0000 0.0000  4 Y 2.93-3.10
2 Y 0.7837 0.8816 0.5509  6 Y 3.40-3.61, 3 Tm 3.64-3.69
3 Y 0.2163 0.1184 0.4491  6 Y 3.40-3.61, 3 Tm 3.64-3.69
4 Y 0.0843 0.5508 0.2806  3 Y 3.25-3.61, 3 Tm 3.41-3.49
5 Y 0.9157 0.4492 0.7194  3 Y 3.25-3.61, 3 Tm 3.41-3.49
6 Y 0.2132 0.7596 0.8140  1 Nd 3.10, 4 Tm 3.16-3.42, 2 Y 3.40-3.44
7 Y 0.5000 0.0000 0.0000  2 Nd 2.93
8 Y 0.7868 0.2404 0.1860  1 Nd 3.10, 4 Tm 3.16-3.42, 2 Y 3.40-3.44
9 Tm 0.5711 0.3016 0.5562  2 Y 3.22-3.51, 2 Tm 3.36-3.57
10 Tm 0.4289 0.6984 0.4438  2 Y 3.22-3.51, 2 Tm 3.36-3.57
11 Tm 0.6702 0.6178 0.0419  7 Y 3.16-3.49
12 Tm 0.3298 0.3822 0.9581  7 Y 3.16-3.49

---

The least stable of them is (w).

---

(w)
Material: Nd4YTm5
Method: DFT, GGA-PBE
State: optimized geometry

## Properties
crystal system = tetragonal

abc: 3.5911 3.5911 25.0024
angles: 90.00 90.00 90.00
Last column: nearest neighbours and their distance in Å.
Sites, in units of the cell vectors:
1 Nd 0.0000 0.0000 0.1991  8 Tm 3.56-3.57, 4 Nd 3.59
2 Nd 0.0000 0.0000 0.3997  8 Tm 3.57, 4 Nd 3.59
3 Nd 0.0000 0.0000 0.6003  8 Tm 3.57, 4 Nd 3.59
4 Nd 0.0000 0.0000 0.8009  8 Tm 3.56-3.57, 4 Nd 3.59
5 Y 0.0000 0.0000 0.0000  8 Tm 3.54, 4 Y 3.59
6 Tm 0.5000 0.5000 0.0985  4 Y 3.54, 4 Nd 3.57, 4 Tm 3.59
7 Tm 0.5000 0.5000 0.2992  8 Nd 3.56-3.57, 4 Tm 3.59
8 Tm 0.5000 0.5000 0.5000  8 Nd 3.57, 4 Tm 3.59
9 Tm 0.5000 0.5000 0.7008  8 Nd 3.56-3.57, 4 Tm 3.59
10 Tm 0.5000 0.5000 0.9015  4 Y 3.54, 4 Nd 3.57, 4 Tm 3.59

---

(x)
Material: Nd4YTm5
Method: DFT, GGA-PBE
State: optimized geometry

## Properties
crystal system = triclinic

abc: 3.5121 11.2759 8.7079
angles: 90.22 101.56 90.00
Last column: nearest neighbours and their distance in Å.
Sites, in units of the cell vectors:
1 Nd 0.6569 0.2500 0.3168  4 Nd 3.51-3.71, 7 Tm 3.65-3.91, 1 Y 3.90
2 Nd 0.9672 0.2517 0.9336  4 Tm 3.30-3.35, 2 Y 3.39, 2 Nd 3.51
3 Nd 0.3431 0.7500 0.6832  4 Nd 3.51-3.71, 7 Tm 3.65-3.91, 1 Y 3.90
4 Nd 0.0328 0.7483 0.0664  4 Tm 3.30-3.35, 2 Y 3.39, 2 Nd 3.51
5 Y 0.5000 0.0000 0.0000  4 Nd 3.39, 4 Tm 3.49-3.50, 2 Y 3.51
6 Tm 0.1724 0.5469 0.3459  2 Nd 3.30-3.67, 6 Tm 3.33-3.51
7 Tm 0.1735 0.9504 0.3478  2 Nd 3.30-3.65, 4 Tm 3.32-3.51, 2 Y 3.49-3.50
8 Tm 0.8265 0.0496 0.6522  2 Nd 3.30-3.65, 4 Tm 3.32-3.51, 2 Y 3.49-3.50
9 Tm 0.5000 0.5000 0.0000  4 Nd 3.35, 6 Tm 3.47-3.51
10 Tm 0.8276 0.4531 0.6541  2 Nd 3.30-3.67, 6 Tm 3.33-3.51

---

The least stable of them is (x).

---

(w)
Material: Nd2YTm7
Method: DFT, GGA-PBE
State: optimized geometry

## Properties
crystal system = triclinic

abc: 6.1173 7.9096 8.6613
angles: 111.43 61.96 121.23
Last column: nearest neighbours and their distance in Å.
Sites, in units of the cell vectors:
1 Nd 0.5989 0.7981 0.4008  10 Tm 3.51-3.55, 1 Y 3.55, 1 Nd 3.56
2 Nd 0.4011 0.2019 0.5992  10 Tm 3.51-3.55, 1 Y 3.55, 1 Nd 3.56
3 Y 0.0000 0.0000 0.0000  10 Tm 3.53-3.54, 2 Nd 3.55
4 Tm 0.8991 0.6991 0.6011  4 Nd 3.51-3.55, 7 Tm 3.53-3.56, 1 Y 3.53
5 Tm 0.1009 0.3009 0.3989  4 Nd 3.51-3.55, 7 Tm 3.53-3.56, 1 Y 3.53
6 Tm 0.1989 0.6000 0.8027  9 Tm 3.50-3.56, 2 Nd 3.53-3.55, 1 Y 3.54
7 Tm 0.8011 0.4000 0.1973  9 Tm 3.50-3.56, 2 Nd 3.53-3.55, 1 Y 3.54
8 Tm 0.3007 0.8988 0.1985  7 Tm 3.51-3.55, 2 Y 3.53, 3 Nd 3.54-3.55
9 Tm 0.6993 0.1012 0.8015  7 Tm 3.51-3.55, 2 Y 3.53, 3 Nd 3.54-3.55
10 Tm 0.5000 0.5000 0.0000  8 Tm 3.52-3.53, 2 Y 3.53, 2 Nd 3.53

---

(x)
Material: Nd2YTm7
Method: DFT, GGA-PBE
State: optimized geometry

## Properties
crystal system = orthorhombic

abc: 3.5012 14.6616 14.6617
angles: 154.65 90.00 90.00
Last column: nearest neighbours and their distance in Å.
Sites, in units of the cell vectors:
1 Nd 0.5000 0.7087 0.2913  2 Nd 3.50, 8 Tm 3.54-3.73
2 Nd 0.5000 0.2913 0.7087  2 Nd 3.50, 8 Tm 3.54-3.73
3 Y 0.0000 0.0000 0.0000  2 Y 3.50, 12 Tm 3.66
4 Tm 0.0000 0.8164 0.1836  6 Tm 3.41-3.50, 6 Nd 3.54-3.73
5 Tm 0.0000 0.1836 0.8164  6 Tm 3.41-3.50, 6 Nd 3.54-3.73
6 Tm 0.5000 0.1482 0.3438  7 Tm 3.17-3.50
7 Tm 0.5000 0.8518 0.6562  7 Tm 3.17-3.50
8 Tm 0.5000 0.3438 0.1482  7 Tm 3.17-3.50
9 Tm 0.5000 0.6562 0.8518  7 Tm 3.17-3.50
10 Tm 0.5000 0.5000 0.5000  6 Tm 3.24-3.50

---

The least stable of them is (x).

---

(w)
Material: NdY3Tm7
Method: DFT, GGA-PBE
State: optimized geometry

## Properties
crystal system = monoclinic

abc: 5.4917 9.8600 8.8388
angles: 105.51 128.41 89.99
Last column: nearest neighbours and their distance in Å.
Sites, in units of the cell vectors:
1 Nd 0.5000 0.5000 0.5000  2 Y 3.46, 10 Tm 3.52-3.78
2 Y 0.2766 0.9964 0.7769  1 Y 3.07, 4 Tm 3.32-3.36
3 Y 0.0000 0.5000 0.0000  2 Nd 3.46, 10 Tm 3.49-3.78
4 Y 0.7234 0.0036 0.2231  1 Y 3.07, 4 Tm 3.32-3.36
5 Tm 0.9239 0.8317 0.9238  3 Tm 3.12-3.26, 1 Y 3.49
6 Tm 0.8504 0.7087 0.3509  3 Tm 3.26-3.55, 2 Y 3.32
7 Tm 0.6765 0.3568 0.1766  5 Tm 3.26-3.55, 3 Y 3.49-3.61, 2 Nd 3.52
8 Tm 0.3235 0.6432 0.8234  5 Tm 3.26-3.55, 3 Y 3.49-3.61, 2 Nd 3.52
9 Tm 0.5000 0.0000 0.5000  4 Y 3.36
10 Tm 0.1496 0.2913 0.6491  3 Tm 3.26-3.55, 2 Y 3.32
11 Tm 0.0761 0.1683 0.0762  3 Tm 3.12-3.26, 1 Y 3.49

---

(x)
Material: NdY3Tm7
Method: DFT, GGA-PBE
State: optimized geometry

## Properties
crystal system = trigonal

abc: 8.5880 6.9924 6.9924
angles: 120.00 90.00 90.00
Last column: nearest neighbours and their distance in Å.
Sites, in units of the cell vectors:
1 Nd 0.4458 0.3333 0.6667  9 Tm 3.45-3.50, 3 Y 3.55
2 Y 0.7851 0.5006 0.4994  4 Y 3.48-3.51, 5 Tm 3.51-3.54, 1 Nd 3.55
3 Y 0.7851 0.5006 0.0012  4 Y 3.48-3.51, 5 Tm 3.51-3.54, 1 Nd 3.55
4 Y 0.7851 0.9988 0.4994  4 Y 3.48-3.51, 5 Tm 3.51-3.54, 1 Nd 3.55
5 Tm 0.1191 0.1676 0.8324  1 Nd 3.45, 8 Tm 3.46-3.52, 2 Y 3.51
6 Tm 0.1191 0.1676 0.3351  1 Nd 3.45, 8 Tm 3.46-3.52, 2 Y 3.51
7 Tm 0.1198 0.6667 0.3333  9 Tm 3.44-3.50, 3 Y 3.51
8 Tm 0.4456 0.8321 0.1679  7 Tm 3.44-3.52, 2 Nd 3.50, 2 Y 3.54
9 Tm 0.4456 0.3357 0.1679  7 Tm 3.44-3.52, 2 Nd 3.50, 2 Y 3.54
10 Tm 0.4456 0.8321 0.6643  7 Tm 3.44-3.52, 2 Nd 3.50, 2 Y 3.54
11 Tm 0.1191 0.6649 0.8324  1 Nd 3.45, 8 Tm 3.46-3.52, 2 Y 3.51

---

The least stable of them is (x).

---

(w)
Material: NdY4Tm3
Method: DFT, GGA-PBE
State: optimized geometry

## Properties
crystal system = orthorhombic

abc: 6.2768 7.2740 11.2659
angles: 90.00 90.00 90.00
Last column: nearest neighbours and their distance in Å.
Sites, in units of the cell vectors:
1 Nd 0.1490 0.3764 0.0000  6 Tm 3.50-3.62, 6 Y 3.53-3.66
2 Nd 0.6490 0.6236 0.5000  6 Tm 3.50-3.62, 6 Y 3.53-3.66
3 Y 0.1448 0.8730 0.0000  4 Tm 3.51-3.65, 6 Y 3.51-3.65, 2 Nd 3.61-3.66
4 Y 0.6467 0.1262 0.0000  6 Y 3.50-3.65, 4 Tm 3.51-3.65, 2 Nd 3.62-3.64
5 Y 0.9831 0.1262 0.2520  5 Tm 3.49-3.66, 6 Y 3.50-3.64, 1 Nd 3.53
6 Y 0.4831 0.8738 0.2480  5 Tm 3.49-3.66, 6 Y 3.50-3.64, 1 Nd 3.53
7 Y 0.1467 0.8738 0.5000  6 Y 3.50-3.65, 4 Tm 3.51-3.65, 2 Nd 3.62-3.64
8 Y 0.6448 0.1270 0.5000  4 Tm 3.51-3.65, 6 Y 3.51-3.65, 2 Nd 3.61-3.66
9 Y 0.4831 0.8738 0.7520  5 Tm 3.49-3.66, 6 Y 3.50-3.64, 1 Nd 3.53
10 Y 0.9831 0.1262 0.7480  5 Tm 3.49-3.66, 6 Y 3.50-3.64, 1 Nd 3.53
11 Tm 0.6488 0.6238 0.0000  6 Y 3.49-3.65, 4 Tm 3.50-3.51, 2 Nd 3.62
12 Tm 0.9799 0.6237 0.2501  2 Nd 3.50-3.51, 4 Tm 3.50-3.62, 6 Y 3.51-3.66
13 Tm 0.4799 0.3763 0.2499  2 Nd 3.50-3.51, 4 Tm 3.50-3.62, 6 Y 3.51-3.66
14 Tm 0.1488 0.3762 0.5000  6 Y 3.49-3.65, 4 Tm 3.50-3.51, 2 Nd 3.62
15 Tm 0.4799 0.3763 0.7501  2 Nd 3.50-3.51, 4 Tm 3.50-3.62, 6 Y 3.51-3.66
16 Tm 0.9799 0.6237 0.7499  2 Nd 3.50-3.51, 4 Tm 3.50-3.62, 6 Y 3.51-3.66

---

(x)
Material: NdY4Tm3
Method: DFT, GGA-PBE
State: optimized geometry

## Properties
crystal system = orthorhombic

abc: 3.5603 10.6530 7.9423
angles: 81.37 63.31 70.47
Last column: nearest neighbours and their distance in Å.
Sites, in units of the cell vectors:
1 Y 0.0000 0.7525 0.7480  4 Y 3.52-3.58, 6 Tm 3.53-3.56, 2 Nd 3.58
2 Y 0.4953 0.7525 0.2520  4 Y 3.52-3.58, 6 Tm 3.53-3.56, 2 Nd 3.58
3 Y 0.9999 0.2478 0.2519  4 Y 3.52-3.58, 6 Tm 3.53-3.56, 2 Nd 3.58
4 Y 0.5047 0.2477 0.7480  4 Y 3.52-3.58, 6 Tm 3.53-3.56, 2 Nd 3.58
5 Tm 0.5000 0.0001 0.4999  8 Y 3.53, 4 Tm 3.55-3.56
6 Tm 0.0000 0.0001 0.9999  8 Y 3.54, 4 Tm 3.55-3.56
7 Tm 0.9999 0.5001 0.5000  2 Nd 3.55, 8 Y 3.56, 2 Tm 3.56
8 Nd 0.5000 0.5001 0.0000  2 Tm 3.55, 2 Nd 3.56, 8 Y 3.58

---

The least stable of them is (x).

---

(w)
Material: Nd8YTm2
Method: DFT, GGA-PBE
State: optimized geometry

## Properties
crystal system = monoclinic

abc: 6.0062 9.1813 9.4875
angles: 61.06 74.32 56.04
Last column: nearest neighbours and their distance in Å.
Sites, in units of the cell vectors:
1 Nd 0.8182 0.0976 0.2386  4 Nd 3.28-3.64, 2 Tm 3.53-3.58
2 Nd 0.8182 0.3362 0.7614  4 Nd 3.28-3.64, 2 Tm 3.53-3.58
3 Nd 0.2955 0.4245 0.0000  3 Nd 3.00-3.28
4 Nd 0.5000 0.7938 0.4124  1 Y 3.42, 2 Tm 3.47, 6 Nd 3.64-3.74
5 Nd 0.5000 0.2062 0.5876  1 Y 3.42, 2 Tm 3.47, 6 Nd 3.64-3.74
6 Nd 0.7045 0.5755 0.0000  3 Nd 3.00-3.28
7 Nd 0.1818 0.6638 0.2386  4 Nd 3.28-3.64, 2 Tm 3.53-3.58
8 Nd 0.1818 0.9024 0.7614  4 Nd 3.28-3.64, 2 Tm 3.53-3.58
9 Y 0.5000 0.0000 0.0000  4 Nd 3.37-3.42
10 Tm 0.0000 0.3109 0.3782  10 Nd 3.47-3.84
11 Tm 0.0000 0.6891 0.6218  10 Nd 3.47-3.84

---

(x)
Material: Nd8YTm2
Method: DFT, GGA-PBE
State: optimized geometry

## Properties
crystal system = monoclinic

abc: 8.6920 9.1982 9.1982
angles: 43.45 52.99 52.99
Last column: nearest neighbours and their distance in Å.
Sites, in units of the cell vectors:
1 Nd 0.1961 0.3537 0.8381  3 Nd 3.30-3.54, 2 Tm 3.48-3.53, 1 Y 3.51
2 Nd 0.8039 0.1619 0.6463  3 Nd 3.30-3.54, 2 Tm 3.48-3.53, 1 Y 3.51
3 Nd 0.3031 0.7393 0.7393  3 Nd 3.18-3.54, 1 Y 3.40
4 Nd 0.6969 0.2607 0.2607  3 Nd 3.18-3.54, 1 Y 3.40
5 Nd 0.1961 0.8381 0.3537  3 Nd 3.30-3.54, 2 Tm 3.48-3.53, 1 Y 3.51
6 Nd 0.8039 0.6463 0.1619  3 Nd 3.30-3.54, 2 Tm 3.48-3.53, 1 Y 3.51
7 Nd 0.7780 0.6089 0.6089  2 Nd 3.18, 1 Tm 3.32
8 Nd 0.2220 0.3911 0.3911  2 Nd 3.18, 1 Tm 3.32
9 Y 0.0000 0.0000 0.0000  10 Nd 3.40-3.76, 2 Tm 3.49
10 Tm 0.5201 0.8608 0.8608  8 Nd 3.32-3.67, 1 Y 3.49
11 Tm 0.4799 0.1393 0.1393  8 Nd 3.32-3.67, 1 Y 3.49

---

The least stable of them is (x).